# Tb2ZnSi3

Tb2ZnSi3 after structural relaxation (GGA-PBE, Alexandria).

a = 7.541 Å, b = 7.541 Å, c = 7.541 Å
α = 148.86°, β = 148.40°, γ = 44.96°
Element x y z (fractional)
1 Tb 0.000 0.000 0.000
2 Tb 0.760 0.260 0.500
3 Zn 0.591 0.591 0.000
4 Si 0.172 0.672 0.500
5 Si 0.338 0.838 0.500
6 Si 0.423 0.423 0.000

Results
theoretical density: 6.701 g cm⁻³

***

# Tb2ZnSi3

Tb2ZnSi3 after structural relaxation (GGA-PBE, Alexandria).

a = 4.012 Å, b = 4.101 Å, c = 7.008 Å
α = 90.00°, β = 90.00°, γ = 90.00°
Element x y z (fractional)
1 Tb 0.000 0.000 0.000
2 Tb 0.000 0.500 0.485
3 Zn 0.500 0.500 0.823
4 Si 0.500 0.000 0.326
5 Si 0.500 0.000 0.659
6 Si 0.500 0.500 0.159

Results
theoretical density: 6.733 g cm⁻³

***

Offset from the most stable computed form in kcal/mol of atoms, matching the order above: 0.00 0.42
Energy relative to the elements, uncorrected in eV per atom, matching the order above: -0.6632 -0.6450
Total DFT energy (no corrections) in eV for the cell shown, matching the order above: -30.78 -30.67